1.
Material: ZnReAu2
Method: DFT, PBE
State: relaxed

Output
Calculated formation energy (meV per atom): 757
Calculated volume (Å³ per atom): 17.65

a = 3.8179 Å, b = 3.8179 Å, c = 10.0546 Å
α = 79.06°, β = 79.06°, γ = 90.00°
Last column: nearest neighbours and their distance in Å.
Fractional positions:
1 Re 0.0000 0.0000 0.0000  4 Zn 2.70, 4 Au 2.77
2 Re 0.7500 0.2500 0.5000  4 Zn 2.70, 4 Au 2.77
3 Zn 0.5000 0.5000 0.0000  4 Re 2.70, 4 Au 2.77
4 Zn 0.2500 0.7500 0.5000  4 Re 2.70, 4 Au 2.77
5 Au 0.6254 0.1250 0.2500  4 Au 2.70, 2 Re 2.77, 2 Zn 2.77
6 Au 0.1246 0.6250 0.2500  4 Au 2.70, 2 Re 2.77, 2 Zn 2.77
7 Au 0.3750 0.3746 0.7500  4 Au 2.70, 2 Re 2.77, 2 Zn 2.77
8 Au 0.8750 0.8754 0.7500  4 Au 2.70, 2 Re 2.77, 2 Zn 2.77

2.
Material: ZnReAu2
Method: DFT, PBE
State: relaxed

Output
Calculated formation energy (meV per atom): 335
Calculated volume (Å³ per atom): 16.30

a = 4.6840 Å, b = 2.7352 Å, c = 5.0875 Å
α = 89.98°, β = 89.98°, γ = 90.01°
Last column: nearest neighbours and their distance in Å.
Fractional positions:
1 Au 0.0000 0.1246 0.9604  4 Au 2.74-2.90, 4 Re 2.85-2.92, 4 Zn 2.87
2 Au 0.5000 0.1253 0.2976  4 Au 2.74-2.90, 4 Zn 2.78-2.99, 4 Re 2.85
3 Re 0.9999 0.6250 0.4678  2 Re 2.74, 2 Zn 2.81, 8 Au 2.85-2.92
4 Zn 0.5001 0.6251 0.7742  2 Zn 2.74, 8 Au 2.78-2.99, 2 Re 2.81

3.
Material: Zn2ReAu
Method: DFT, PBE
State: relaxed

Output
Calculated formation energy (meV per atom): 155
Calculated volume (Å³ per atom): 15.29
Offset from the most stable computed form (meV/atom): 67.9

a = 4.8702 Å, b = 4.8702 Å, c = 2.7027 Å
α = 90.00°, β = 90.00°, γ = 107.43°
Last column: nearest neighbours and their distance in Å.
Fractional positions:
1 Au 0.5000 0.0000 0.5000  2 Au 2.70, 8 Zn 2.78, 2 Re 2.88
2 Re 0.0000 0.5000 0.5000  2 Re 2.70, 8 Zn 2.78, 2 Au 2.88
3 Zn 0.0000 0.0000 0.0000  4 Zn 2.70-2.88, 4 Re 2.78, 4 Au 2.78
4 Zn 0.5000 0.5000 0.0000  4 Zn 2.70-2.88, 4 Au 2.78, 4 Re 2.78

4.
Material: Zn2ReAu
Method: DFT, PBE
State: relaxed

Output
Calculated formation energy (meV per atom): 124
Calculated volume (Å³ per atom): 15.30
Offset from the most stable computed form (meV/atom): 36.9

a = 2.7329 Å, b = 2.7329 Å, c = 8.1939 Å
α = 90.00°, β = 90.00°, γ = 90.00°
Last column: nearest neighbours and their distance in Å.
Fractional positions:
1 Au 0.5000 0.5000 0.2500  4 Au 2.73, 8 Zn 2.86
2 Re 0.5000 0.5000 0.7500  4 Re 2.73, 8 Zn 2.77
3 Zn 0.0000 0.0000 0.9926  4 Zn 2.73, 4 Re 2.77, 4 Au 2.86
4 Zn 0.0000 0.0000 0.5074  4 Zn 2.73, 4 Re 2.77, 4 Au 2.86

5.
Material: Zn2ReAu
Method: DFT, PBE
State: relaxed

Output
Calculated formation energy (meV per atom): 200
Calculated volume (Å³ per atom): 15.04
Offset from the most stable computed form (meV/atom): 113.3

a = 3.4986 Å, b = 4.1462 Å, c = 4.1462 Å
α = 90.00°, β = 90.00°, γ = 90.00°
Last column: nearest neighbours and their distance in Å.
Fractional positions:
1 Au 0.5000 0.5000 0.0000  8 Zn 2.71, 4 Re 2.93
2 Re 0.5000 0.0000 0.5000  8 Zn 2.71, 4 Au 2.93
3 Zn 0.0000 0.0000 0.0000  4 Re 2.71, 4 Au 2.71, 4 Zn 2.93
4 Zn 0.0000 0.5000 0.5000  4 Re 2.71, 4 Au 2.71, 4 Zn 2.93

6.
Material: Zn2ReAu
Method: DFT, PBE
State: relaxed

Output
Calculated formation energy (meV per atom): 87
Calculated volume (Å³ per atom): 15.42
Offset from the most stable computed form (meV/atom): 0.0

a = 9.0625 Å, b = 9.0625 Å, c = 9.0625 Å
α = 17.94°, β = 17.94°, γ = 17.94°
Last column: nearest neighbours and their distance in Å.
Fractional positions:
1 Au 0.2500 0.2500 0.2500  6 Zn 2.80, 6 Au 2.83
2 Re 0.7500 0.7500 0.7500  6 Zn 2.73, 6 Re 2.83
3 Zn 0.0017 0.0017 0.0017  3 Re 2.73, 3 Au 2.80, 6 Zn 2.83
4 Zn 0.4983 0.4983 0.4983  3 Re 2.73, 3 Au 2.80, 6 Zn 2.83

Total magnetic moment, record by record: 1.12; 0.00; 0.00; 0.00; 0.00; 0.00 μB per formula unit